[1]
# Tb2Cd3Hg2 (GGA-PBE, optimized geometry)
# Magnetization = 0.0 Bohr magnetons per cell
# E_tot = -2.06 eV per atom
data_Tb2Cd3Hg2
_cell_length_a 4.800
_cell_length_b 21.374
_cell_length_c 3.367
_cell_angle_alpha 90.00
_cell_angle_beta 90.00
_cell_angle_gamma 90.00
_space_group_name_H-M_alt 'C m m m'
_space_group_IT_number 65
_space_group_name_Hall '-C 2 2'
loop_
_atom_site_label
_atom_site_type_symbol
_atom_site_fract_x
_atom_site_fract_y
_atom_site_fract_z
_atom_site_occupancy
Tb1 Tb 0.000 0.155 0.000 1
Cd1 Cd 0.000 0.000 0.000 1
Cd2 Cd 0.000 0.430 0.500 1
Hg1 Hg 0.000 0.289 0.500 1



[2]
# Tb3Cd3Hg2 (GGA-PBE, optimized geometry)
# Magnetization = 0.0 Bohr magnetons per cell
# E_tot = -2.50 eV per atom
data_Tb3Cd3Hg2
_cell_length_a 7.8624
_cell_length_b 7.8624
_cell_length_c 3.8691
_cell_angle_alpha 90.00
_cell_angle_beta 90.00
_cell_angle_gamma 120.00
_space_group_name_H-M_alt 'P -6 2 m'
_space_group_IT_number 189
_space_group_name_Hall 'P -6 -2'
loop_
_atom_site_label
_atom_site_type_symbol
_atom_site_fract_x
_atom_site_fract_y
_atom_site_fract_z
_atom_site_occupancy
Tb1 Tb 0.0000 0.3987 0.0000 1
Cd1 Cd 0.0000 0.7725 0.5000 1
Hg1 Hg 0.3333 0.6667 0.5000 1



[3]
# Tb6CdHg (GGA-PBE, optimized geometry)
# Magnetization = 0.0 Bohr magnetons per cell
# E_tot = -3.81 eV per atom
data_Tb6CdHg
_cell_length_a 5.105
_cell_length_b 5.105
_cell_length_c 17.931
_cell_angle_alpha 90.00
_cell_angle_beta 90.00
_cell_angle_gamma 90.00
_space_group_name_H-M_alt 'I 4/m m m'
_space_group_IT_number 139
_space_group_name_Hall '-I 4 2'
loop_
_atom_site_label
_atom_site_type_symbol
_atom_site_fract_x
_atom_site_fract_y
_atom_site_fract_z
_atom_site_occupancy
Tb1 Tb 0.000 0.000 0.249 1
Tb2 Tb 0.000 0.500 0.113 1
Cd1 Cd 0.000 0.000 0.000 1
Hg1 Hg 0.000 0.000 0.500 1



[4]
# TbCd6Hg12 (GGA-PBE, optimized geometry)
# Magnetization = 0.0 Bohr magnetons per cell
# Energy above the lowest structure with this stoichiometry = 0.000 eV per atom
# E_tot = -0.77 eV per atom
data_TbCd6Hg12
_cell_length_a 13.4663
_cell_length_b 13.4663
_cell_length_c 9.4633
_cell_angle_alpha 90.00
_cell_angle_beta 90.00
_cell_angle_gamma 120.00
_space_group_name_H-M_alt 'R -3'
_space_group_IT_number 148
_space_group_name_Hall '-R 3'
loop_
_atom_site_label
_atom_site_type_symbol
_atom_site_fract_x
_atom_site_fract_y
_atom_site_fract_z
_atom_site_occupancy
Tb1 Tb 0.0000 0.0000 0.0000 1
Cd1 Cd 0.0216 0.8741 0.7144 1
Hg1 Hg 0.0479 0.2507 0.9509 1
Hg2 Hg 0.0543 0.7907 0.4269 1



Going through the records in order, we get calculated formation energy values of -0.2540 -0.3485 -0.1864 -0.0471 eV per atom.
Going through the records in order, we get DOS at the Fermi energy values of 8.81 6.06 17.02 17.52 states/eV/cell.